## CaMn3F (GGA+U)

Data for a relaxed CaMn3F crystal.

a = 4.8276 Å, b = 4.8276 Å, c = 4.8276 Å
α = 90.00°, β = 90.00°, γ = 90.00°
Each line ends with the local moment (μB).
Fractional coordinates of all 5 atoms:
F (0.0000, 0.0000, 0.0000)  0.13
Ca (0.5000, 0.5000, 0.5000)  -0.06
Mn (0.0000, 0.0000, 0.5000)  4.63
Mn (0.5000, 0.0000, 0.0000)  4.56
Mn (0.0000, 0.5000, 0.0000)  4.62

For the volume, the calculation gives 22.502 Å³/atom. The calculation puts the density of states at the Fermi level at 2.39 states/eV/f.u. As for the total DFT energy (no corrections): -5.328 eV per atom. The total magnetic moment is 14.6 μB/f.u. The energy above the most stable polymorph in this dataset is 0 meV/atom.